Record 1
Compound: ZnIn2Ga2
Source: Alexandria
Functional: PBE-GGA
Structure: optimized geometry

The structure in POSCAR format:
```
ZnIn2Ga2
1.0
6.8341 0.0000 0.0000
0.0000 6.8341 0.0000
0.0000 0.0000 4.7584
Ga In Zn
4 4 2
direct
0.1382 0.3618 0.0000
0.3618 0.8618 0.0000
0.8618 0.6382 0.0000
0.6382 0.1382 0.0000
0.8249 0.3249 0.5000
0.1751 0.6751 0.5000
0.6751 0.8249 0.5000
0.3249 0.1751 0.5000
0.5000 0.5000 0.0000
0.0000 0.0000 0.0000
```

total DFT energy (no corrections) = -2.495 eV per atom
E_form = 0.066 eV/atom
relative energy among the computed polymorphs = 0 meV per atom

=====

Record 2
Compound: K2LiAl
Source: Alexandria
Functional: PBE-GGA
Structure: optimized geometry

The structure in POSCAR format:
```
K2LiAl
1.0
-0.2014 3.5328 -5.0253
-2.5887 -3.6988 -4.1705
-2.0719 1.3491 5.6269
K Al Li
2 1 1
direct
0.0000 0.0000 0.0000
0.2500 0.7500 0.5000
0.7500 0.2500 0.5000
0.5000 0.5000 0.0000
```

total DFT energy (no corrections) = -1.651 eV per atom
E_form = 0.312 eV/atom

=====

Record 3
Compound: Na2CoSe2
Source: Alexandria
Functional: PBE-GGA
Structure: optimized geometry

The structure in POSCAR format:
```
Na2CoSe2
1.0
-2.0385 5.2550 1.4554
-5.8347 -1.5876 -2.4390
2.2699 -3.9721 5.8787
Na Se Co
4 4 2
direct
0.8589 0.5289 0.7176
0.1411 0.4711 0.2824
0.3590 0.1884 0.7178
0.6410 0.8116 0.2822
0.1131 0.9038 0.2261
0.3870 0.6775 0.7740
0.6130 0.3225 0.2260
0.8869 0.0962 0.7739
0.2500 0.0000 0.0000
0.7500 0.0000 0.0000
```

total DFT energy (no corrections) = -4.008 eV per atom
raw formation energy = -665 meV per atom

=====

Record 4
Compound: AlAgMo2
Source: Alexandria
Functional: PBE-GGA
Structure: optimized geometry

The structure in POSCAR format:
```
AlAgMo2
1.0
9.5555 -0.0032 -0.0019
9.1399 2.7872 -0.0019
9.1399 1.3610 2.4323
Al Mo Ag
1 2 1
direct
0.7480 0.7480 0.7480
0.0028 0.0028 0.0028
0.2523 0.2523 0.2523
0.4969 0.4969 0.4969
```

total DFT energy (no corrections) = -6.861 eV per atom
E_form = 0.203 eV/atom

=====

Record 5
Compound: CrCuSb2
Source: Alexandria
Functional: PBE-GGA
Structure: optimized geometry

The structure in POSCAR format:
```
CrCuSb2
1.0
6.9885 0.9613 -0.3845
4.4106 5.5054 0.3845
-5.8528 -2.9632 2.6220
Sb Cr Cu
2 1 1
direct
0.0038 0.0038 0.0000
0.7509 0.2509 0.5000
0.4336 0.4336 0.0000
0.3117 0.8117 0.5000
```

total DFT energy (no corrections) = -5.236 eV per atom
raw formation energy = 255 meV per atom
relative energy among the computed polymorphs = 114 meV per atom

=====

Record 6
Compound: Ba2CaRu3O12
Source: Alexandria
Functional: PBE-GGA
Structure: optimized geometry

The structure in POSCAR format:
```
Ba2CaRu3O12
1.0
6.9177 -0.2274 -0.1613
3.2186 6.1275 -0.1613
3.2186 1.8735 5.8363
O Ru Ba Ca
12 3 2 1
direct
0.8691 0.8691 0.4239
0.2839 0.8890 0.2839
0.4239 0.8691 0.8691
0.1309 0.1309 0.5761
0.2839 0.2839 0.8890
0.1309 0.5761 0.1309
0.8890 0.2839 0.2839
0.1110 0.7161 0.7161
0.8691 0.4239 0.8691
0.7161 0.1110 0.7161
0.5761 0.1309 0.1309
0.7161 0.7161 0.1110
0.0000 0.0000 0.5000
0.5000 0.0000 0.0000
0.0000 0.5000 0.0000
0.3895 0.3895 0.3895
0.6105 0.6105 0.6105
0.0000 0.0000 0.0000
```

total DFT energy (no corrections) = -6.669 eV per atom
raw formation energy = -1493 meV per atom

=====

Record 7
Compound: Na4TaCr3Se8
Source: Alexandria
Functional: PBE-GGA
Structure: optimized geometry

The structure in POSCAR format:
```
Na4TaCr3Se8
1.0
7.6655 0.0000 0.0000
0.0000 8.1406 0.3267
-3.8328 -3.8303 5.4237
Se Na Cr Ta
8 4 3 1
direct
0.2660 0.2987 0.5320
0.7637 0.2955 0.0313
0.7340 0.7013 0.4680
0.2362 0.7042 0.4725
0.7324 0.7045 0.9687
0.2676 0.2955 0.0313
0.2363 0.7045 0.9687
0.7638 0.2958 0.5275
0.0000 0.0000 0.5000
0.5000 0.0000 0.5000
0.5000 0.0000 0.0000
0.0000 0.0000 0.0000
0.5000 0.5000 0.5000
0.5000 0.5000 0.0000
0.0000 0.5000 0.5000
0.0000 0.5000 0.0000
```

total DFT energy (no corrections) = -5.400 eV per atom
raw formation energy = -783 meV per atom

=====

Record 8
Compound: Na2AgSbF6
Source: Alexandria
Functional: PBE-GGA
Structure: optimized geometry

The structure in POSCAR format:
```
Na2AgSbF6
1.0
0.0000 4.5614 4.5614
4.5614 0.0000 4.5614
4.5614 4.5614 0.0000
Na F Sb Ag
2 6 1 1
direct
0.7500 0.7500 0.7500
0.2500 0.2500 0.2500
0.2381 0.7619 0.7619
0.7619 0.2381 0.2381
0.7619 0.7619 0.2381
0.7619 0.2381 0.7619
0.2381 0.7619 0.2381
0.2381 0.2381 0.7619
0.0000 0.0000 0.0000
0.5000 0.5000 0.5000
```

total DFT energy (no corrections) = -4.134 eV per atom
raw formation energy = -2050 meV per atom
relative energy among the computed polymorphs = 201 meV per atom

=====

Record 9
Compound: CrCu2Ir
Source: Alexandria
Functional: PBE-GGA
Structure: optimized geometry

The structure in POSCAR format:
```
CrCu2Ir
1.0
-2.5882 2.5694 2.5952
-2.4754 -2.4494 -3.7721
-1.1168 -2.1069 1.2355
Cr Ir Cu
1 1 2
direct
0.5000 0.5000 0.0000
0.0000 0.5000 0.5000
0.5000 0.0000 0.5000
0.0000 0.0000 0.0000
```

total DFT energy (no corrections) = -6.441 eV per atom
E_form = 0.228 eV/atom

=====

Record 10
Compound: Ca2Al2SiO7
Source: Alexandria
Functional: PBE-GGA
Structure: optimized geometry

The structure in POSCAR format:
```
Ca2Al2SiO7
1.0
7.7509 0.0000 0.0000
0.0000 5.1055 0.0315
0.0000 0.0568 7.7731
Si O Al Ca
2 14 4 4
direct
0.6449 0.0510 0.6065
0.1449 0.9490 0.3935
0.0844 0.8015 0.5761
0.4082 0.1919 0.0895
0.1670 0.1975 0.8229
0.6433 0.7351 0.6033
0.5157 0.1795 0.7520
0.8574 0.3022 0.1109
0.6670 0.8025 0.1771
0.8341 0.1884 0.6445
0.1433 0.2649 0.3967
0.5844 0.1985 0.4239
0.0157 0.8205 0.2480
0.9082 0.8081 0.9105
0.3341 0.8116 0.3555
0.3574 0.6978 0.8891
0.4997 0.0014 0.2554
0.3587 0.0370 0.8935
0.8587 0.9630 0.1065
0.9997 0.9986 0.7446
0.3325 0.5054 0.6026
0.6541 0.5217 0.9276
0.1541 0.4783 0.0724
0.8325 0.4946 0.3974
```

total DFT energy (no corrections) = -7.361 eV per atom
raw formation energy = -3059 meV per atom

=====

Record 11
Compound: TlInSi
Source: Alexandria
Functional: PBE-GGA
Structure: optimized geometry

The structure in POSCAR format:
```
TlInSi
1.0
-0.8342 4.2504 4.9060
-5.1995 2.2735 3.2600
3.7042 -4.8940 -2.2712
Tl In Si
1 1 1
direct
0.6785 0.6785 0.0000
0.9720 0.9720 0.0000
0.3495 0.3495 0.0000
```

total DFT energy (no corrections) = -3.145 eV per atom
raw formation energy = 364 meV per atom
relative energy among the computed polymorphs = 56 meV per atom

=====

Record 12
Compound: Y4Zn2Ir
Source: Alexandria
Functional: PBE-GGA
Structure: optimized geometry

The structure in POSCAR format:
```
Y4Zn2Ir
1.0
4.7383 0.0000 1.4804
2.1379 4.2286 1.4804
-0.0821 -0.0505 8.5862
Y Zn Ir
4 2 1
direct
0.3732 0.3732 0.8803
0.8776 0.8776 0.3673
0.1224 0.1224 0.6327
0.6268 0.6268 0.1197
0.7521 0.7521 0.7436
0.2479 0.2479 0.2564
0.0000 0.0000 0.0000
```

total DFT energy (no corrections) = -5.700 eV per atom
E_form = -0.377 eV/atom

=====

Record 13
Compound: TaOs3
Source: Alexandria
Functional: PBE-GGA
Structure: optimized geometry

The structure in POSCAR format:
```
TaOs3
1.0
2.7454 0.0000 0.0000
-0.9151 5.0916 0.0000
-0.9151 -2.5458 4.4095
Os Ta
3 1
direct
0.0000 0.0000 0.0000
0.5000 0.5000 0.0000
0.5000 0.0000 0.5000
0.0000 0.5000 0.5000
```

total DFT energy (no corrections) = -11.042 eV per atom
E_form = 0.344 eV/atom

=====

Record 14
Compound: Cr2MoSe
Source: Alexandria
Functional: PBE-GGA
Structure: optimized geometry

The structure in POSCAR format:
```
Cr2MoSe
1.0
-0.5853 -1.2017 -3.9300
-2.3832 -1.5591 0.8316
-2.8036 3.7812 -0.7386
Cr Se Mo
2 1 1
direct
0.0000 0.7183 0.4627
0.0000 0.7817 0.0373
0.5000 0.7500 0.7500
0.5000 0.2500 0.2500
```

total DFT energy (no corrections) = -8.063 eV per atom
raw formation energy = 328 meV per atom

=====

Record 15
Compound: PuSc2Sn
Source: Alexandria
Functional: PBE-GGA
Structure: optimized geometry

The structure in POSCAR format:
```
PuSc2Sn
1.0
3.3673 0.0000 0.0000
0.0000 3.3673 0.0000
0.0000 0.0000 8.3131
Pu Sc Sn
1 2 1
direct
0.5000 0.5000 0.0000
0.0000 0.0000 0.7362
0.0000 0.0000 0.2638
0.5000 0.5000 0.5000
```

total DFT energy (no corrections) = -7.978 eV per atom
E_form = -0.229 eV/atom
relative energy among the computed polymorphs = 97 meV per atom

=====

Record 16
Compound: Tm7AsS5
Source: Alexandria
Functional: PBE-GGA
Structure: optimized geometry

The structure in POSCAR format:
```
Tm7AsS5
1.0
3.8200 0.0000 0.0000
-1.9100 6.2955 -0.1017
0.0000 -0.4031 23.0562
S Tm As
10 14 2
direct
0.2802 0.5604 0.0713
0.0000 0.0001 0.5001
0.5611 0.1221 0.1421
0.7272 0.4543 0.5705
0.0006 0.0012 0.9999
0.4401 0.8801 0.8578
0.7209 0.4419 0.9286
0.2729 0.5458 0.4295
0.4583 0.9165 0.6427
0.5418 0.0836 0.3573
0.6345 0.2691 0.4630
0.0812 0.1624 0.8918
0.8009 0.6018 0.8212
0.3581 0.7162 0.9632
0.4712 0.9424 0.2468
0.5292 0.0583 0.7530
0.8191 0.6381 0.6766
0.1811 0.3622 0.3234
0.9200 0.8400 0.1080
0.2001 0.4003 0.1787
0.6431 0.2861 0.0368
0.0984 0.1968 0.6148
0.3655 0.7310 0.5371
0.9017 0.8034 0.3852
0.8063 0.6125 0.2641
0.1941 0.3882 0.7362
```

total DFT energy (no corrections) = -6.056 eV per atom
raw formation energy = -1703 meV per atom

=====

Record 17
Compound: Ba2SrTa
Source: Alexandria
Functional: PBE-GGA
Structure: optimized geometry

The structure in POSCAR format:
```
Ba2SrTa
1.0
-5.5307 3.8225 3.8621
-4.5440 0.8140 6.2294
2.1892 4.2215 4.4526
Ta Ba Sr
1 2 1
direct
0.2499 0.2499 0.2500
0.9481 0.9481 0.0520
0.7496 0.7496 0.7503
0.5524 0.5524 0.4477
```

total DFT energy (no corrections) = -3.447 eV per atom
E_form = 0.898 eV/atom
relative energy among the computed polymorphs = 67 meV per atom

=====

Record 18
Compound: Tl4Se2S
Source: Alexandria
Functional: PBE-GGA
Structure: optimized geometry

The structure in POSCAR format:
```
Tl4Se2S
1.0
-8.2496 -0.0675 -1.3935
6.2046 -0.2083 -5.6090
0.0146 -9.0755 0.3531
Tl Se S
8 4 2
direct
0.7339 0.7628 0.2500
0.2661 0.2372 0.7500
0.7364 0.2636 0.9612
0.2636 0.7364 0.4612
0.2636 0.7364 0.0388
0.7364 0.2636 0.5388
0.7628 0.7339 0.7500
0.2372 0.2661 0.2500
0.5000 0.5000 0.5000
0.8366 0.1634 0.2500
0.5000 0.5000 0.0000
0.1634 0.8366 0.7500
0.1160 0.8840 0.2500
0.8840 0.1160 0.7500
```

total DFT energy (no corrections) = -3.146 eV per atom
raw formation energy = -209 meV per atom
relative energy among the computed polymorphs = 82 meV per atom

=====

Record 19
Compound: HgGe3Te4
Source: Alexandria
Functional: PBE-GGA
Structure: optimized geometry

The structure in POSCAR format:
```
HgGe3Te4
1.0
4.3342 0.0157 0.1412
0.1846 7.1822 2.2431
-0.0228 0.5535 7.4749
Te Ge Hg
4 3 1
direct
0.4674 0.2361 0.7390
0.4657 0.7522 0.2549
0.9903 0.2277 0.2415
0.9954 0.7395 0.7296
0.5134 0.0059 0.5058
0.0240 0.0096 0.0077
0.0252 0.5120 0.5057
0.5183 0.5179 0.0154
```

total DFT energy (no corrections) = -3.405 eV per atom
raw formation energy = -65 meV per atom

=====

Record 20
Compound: Tb2AuI
Source: Alexandria
Functional: PBE-GGA
Structure: optimized geometry

The structure in POSCAR format:
```
Tb2AuI
1.0
-3.1462 1.0210 2.5815
-3.9730 -0.2901 -1.3175
-2.6833 -7.2489 3.0066
I Tb Au
1 2 1
direct
0.5000 0.5000 0.5000
0.7330 0.7330 0.8009
0.2670 0.2670 0.1991
0.0000 0.0000 0.0000
```

total DFT energy (no corrections) = -4.339 eV per atom
raw formation energy = -817 meV per atom
relative energy among the computed polymorphs = 0 meV per atom